Density functional theory data (PBE with a Hubbard U) for a relaxed MnGa2F6 crystal.

Cell lengths 6.978, 7.871, 7.871 Å; angles 62.86, 55.16, 55.16 degrees
Site moments in Bohr magnetons follow the coordinates.
Atoms (fractional coordinates):
Mn1 0.250 0.228 0.772  4.70
Mn2 0.750 0.772 0.228  4.70
Ga1 0.091 0.957 0.615  0.01
Ga2 0.409 0.385 0.043  0.01
Ga3 0.909 0.043 0.385  0.01
Ga4 0.591 0.615 0.957  0.01
F1 0.441 0.776 0.536  0.02
F2 0.059 0.464 0.224  0.02
F3 0.559 0.224 0.464  0.02
F4 0.941 0.536 0.776  0.02
F5 0.940 0.823 0.326  0.02
F6 0.560 0.674 0.177  0.02
F7 0.060 0.177 0.674  0.02
F8 0.440 0.326 0.823  0.02
F9 0.981 0.818 0.894  0.01
F10 0.519 0.106 0.182  0.01
F11 0.019 0.182 0.106  0.01
F12 0.481 0.894 0.818  0.01

Properties
The energy comes out at -5.21 eV/atom. The calculation puts the total moment at 10.0 μB per cell. As for the theoretical density: 3.58 Mg/m³.